No. 1
The following is a PBE-GGA calculation of BaAs2IrS8 after structural relaxation, from Alexandria.

a = 5.9957 Å, b = 5.9957 Å, c = 8.8918 Å
α = 90.00°, β = 90.00°, γ = 120.00°
With the nearest neighbours (Å) after each atom.
Sites, in units of the cell vectors:
Ba 0.0000 0.0000 0.0000  12 S 3.48-3.55
As 0.3333 0.6667 0.7188  4 S 2.16-2.26
As 0.6667 0.3333 0.2812  4 S 2.16-2.26
Ir 0.0000 0.0000 0.5000  6 S 2.37
S 0.0321 0.7023 0.3382  1 As 2.26, 1 Ir 2.37
S 0.2977 0.3298 0.3382  1 As 2.26, 1 Ir 2.37
S 0.3298 0.0321 0.6618  1 As 2.26, 1 Ir 2.37
S 0.3333 0.6667 0.9614  1 As 2.16
S 0.6667 0.3333 0.0386  1 As 2.16
S 0.6702 0.9679 0.3382  1 As 2.26, 1 Ir 2.37
S 0.7023 0.6702 0.6618  1 As 2.26, 1 Ir 2.37
S 0.9679 0.2977 0.6618  1 As 2.26, 1 Ir 2.37

Calculated values
formation energy (no corrections)	-381	meV per atom
calculated total energy	-57.67	eV for the cell shown
magnetic moment	0.017	μB per formula unit

***

No. 2
The following is a PBE-GGA calculation of BaScAs2Ir after structural relaxation, from Alexandria.

a = 5.2286 Å, b = 5.2286 Å, c = 4.8002 Å
α = 90.00°, β = 90.00°, γ = 90.00°
With the nearest neighbours (Å) after each atom.
Sites, in units of the cell vectors:
Ba 0.0000 0.0000 0.0000  8 As 3.55, 4 Sc 3.70
Sc 0.5000 0.5000 0.0000  2 Ir 2.40
As 0.0000 0.5000 0.5000  2 Ir 2.61
As 0.5000 0.0000 0.5000  2 Ir 2.61
Ir 0.5000 0.5000 0.5000  2 Sc 2.40, 4 As 2.61

Calculated values
calculated total energy	-27.46	eV for the cell shown
magnetic moment	0.000	μB per formula unit
formation energy from the elements	-0.2099	eV/atom

***

No. 3
The following is a PBE-GGA calculation of BaAs2IrSe after structural relaxation, from Alexandria.

a = 5.9134 Å, b = 5.9134 Å, c = 5.7965 Å
α = 90.00°, β = 90.00°, γ = 90.00°
With the nearest neighbours (Å) after each atom.
Sites, in units of the cell vectors:
Ba 0.0000 0.0000 0.0000  2 Se 2.90, 4 As 2.96
As 0.0000 0.5000 0.0000  2 Ba 2.96
As 0.5000 0.0000 0.0000  2 Ba 2.96
Ir 0.5000 0.5000 0.5000  8 As 4.14, 4 Se 4.18
Se 0.0000 0.0000 0.5000  2 Ba 2.90

Calculated values
formation energy (no corrections)	1967	meV per atom
calculated total energy	-13.73	eV for the cell shown
magnetic moment	0.916	μB per formula unit
polymorph energy (0 for the lowest one)	2348	meV/atom

***

Which value of magnetic moment does entry 1 give?
0.017 μB per formula unit

***

Which of these has the lowest calculated total energy?
BaAs2IrS8